## Pm3Ho2Tl (PBE)

Data for a geometry-optimized Pm3Ho2Tl structure.

Calculated values
Space-group type: Cmmm
Calculated formation energy: -0.66 eV/f.u.

Unit cell a=4.967 b=15.278 c=4.904 alpha=90.00 beta=90.00 gamma=90.00
Atoms (fractional coordinates):
Pm  0.000  0.000  0.000
Pm  0.000  0.330  0.000
Pm  0.000  0.670  0.000
Pm  0.500  0.170  0.000
Pm  0.500  0.500  0.000
Pm  0.500  0.830  0.000
Ho  0.000  0.163  0.500
Ho  0.000  0.837  0.500
Ho  0.500  0.337  0.500
Ho  0.500  0.663  0.500
Tl  0.000  0.500  0.500
Tl  0.500  0.000  0.500


## Na3Mg4 (PBE)

Data for a geometry-optimized Na3Mg4 structure.

Calculated values
Space-group type: P6/mmm
Calculated formation energy: 1.28 eV/f.u.

Unit cell a=5.991 b=5.991 c=6.128 alpha=90.00 beta=90.00 gamma=120.00
Atoms (fractional coordinates):
Na  0.000  0.500  0.000
Na  0.500  0.000  0.000
Na  0.500  0.500  0.000
Mg  0.000  0.000  0.264
Mg  0.000  0.000  0.736
Mg  0.333  0.667  0.500
Mg  0.667  0.333  0.500


## LiMg3Tc (PBE)

Data for a geometry-optimized LiMg3Tc structure.

Calculated values
Space-group type: Pm-3m
Calculated formation energy: 3.12 eV/f.u.

Unit cell a=5.056 b=5.056 c=5.056 alpha=90.00 beta=90.00 gamma=90.00
Atoms (fractional coordinates):
Li  0.000  0.000  0.000
Mg  0.000  0.500  0.500
Mg  0.500  0.000  0.500
Mg  0.500  0.500  0.000
Tc  0.500  0.500  0.500


## Ho6C2S3O (PBE)

Data for a geometry-optimized Ho6C2S3O structure.

Calculated values
Formation energy (no corrections): -20.4 eV per formula unit
Space-group type: C2/m

Unit cell a=8.384 b=8.384 c=7.534 alpha=105.28 beta=105.28 gamma=25.27
Atoms (fractional coordinates):
Ho  0.011  0.011  0.238
Ho  0.325  0.325  0.438
Ho  0.339  0.339  0.892
Ho  0.661  0.661  0.108
Ho  0.675  0.675  0.562
Ho  0.989  0.989  0.762
C  0.164  0.164  0.327
C  0.836  0.836  0.673
S  0.165  0.165  0.833
S  0.500  0.500  0.500
S  0.835  0.835  0.167
O  0.500  0.500  0.000


## Ce2UGa2Ru5 (PBE)

Data for a geometry-optimized Ce2UGa2Ru5 structure.

Calculated values
Space-group type: P4/mbm
Calculated formation energy: -4.09 eV/f.u.

Unit cell a=10.020 b=10.020 c=3.568 alpha=90.00 beta=90.00 gamma=90.00
Atoms (fractional coordinates):
Ce  0.167  0.333  0.000
Ce  0.333  0.833  0.000
Ce  0.667  0.167  0.000
Ce  0.833  0.667  0.000
U  0.000  0.000  0.000
U  0.500  0.500  0.000
Ga  0.128  0.628  0.000
Ga  0.372  0.128  0.000
Ga  0.628  0.872  0.000
Ga  0.872  0.372  0.000
Ru  0.000  0.500  0.500
Ru  0.070  0.801  0.500
Ru  0.199  0.070  0.500
Ru  0.301  0.570  0.500
Ru  0.430  0.301  0.500
Ru  0.500  0.000  0.500
Ru  0.570  0.699  0.500
Ru  0.699  0.430  0.500
Ru  0.801  0.930  0.500
Ru  0.930  0.199  0.500


## HfAlAgRu (PBE)

Data for a geometry-optimized HfAlAgRu structure.

Calculated values
Space-group type: F-43m
Calculated formation energy: -1.34 eV/f.u.

Unit cell a=6.434 b=6.434 c=6.434 alpha=90.00 beta=90.00 gamma=90.00
Atoms (fractional coordinates):
Hf  0.000  0.000  0.000
Hf  0.000  0.500  0.500
Hf  0.500  0.000  0.500
Hf  0.500  0.500  0.000
Al  0.000  0.000  0.500
Al  0.000  0.500  0.000
Al  0.500  0.000  0.000
Al  0.500  0.500  0.500
Ag  0.250  0.250  0.750
Ag  0.250  0.750  0.250
Ag  0.750  0.250  0.250
Ag  0.750  0.750  0.750
Ru  0.250  0.250  0.250
Ru  0.250  0.750  0.750
Ru  0.750  0.250  0.750
Ru  0.750  0.750  0.250